Below is crystalline SrHfP2 at its relaxed geometry, with properties calculated at the GGA-PBE level.

Cell lengths 4.877, 4.877, 4.877 Å; angles 60.00, 60.00, 60.00 degrees
Atoms (fractional coordinates):
1 Sr 0.000 0.000 0.000
2 Hf 0.500 0.500 0.500
3 P 0.250 0.250 0.250
4 P 0.750 0.750 0.750

DFT total energy = -24.41 eV for the cell shown
SG = Fm-3m, No. 225
Theoretical density = 6.64 g cm⁻³
N(E_F) = 2.3 states/eV/cell
Energy relative to the lowest polymorph listed for this composition = 68.6 kJ per mole of atoms
Energy relative to the elements = -47 kJ per mole of atoms